## CuIrPbAu (PBE)

Data for crystalline CuIrPbAu at its relaxed geometry.

Values from the calculation:
Spin magnetization ... 0.00 μB per formula unit
Energy ... -4.56 eV/atom

```
CuIrPbAu
1.0
0.000 3.267 3.267
3.267 0.000 3.267
3.267 3.267 0.000
Au Cu Ir Pb
1 1 1 1
direct
0.500 0.500 0.500
0.750 0.750 0.750
0.250 0.250 0.250
0.000 0.000 0.000
```

---

## CuSnIrAu (PBE)

Data for crystalline CuSnIrAu at its relaxed geometry.

Values from the calculation:
Spin magnetization ... 0.00 μB per formula unit
Energy ... -4.89 eV/atom

```
CuSnIrAu
1.0
2.866 -3.101 -1.665
-1.596 -3.515 -2.387
0.745 -0.232 -4.471
Au Cu Ir Sn
1 1 1 1
direct
0.500 0.500 0.500
0.750 0.750 0.750
0.250 0.250 0.250
0.000 0.000 0.000
```

---

## CuTcIrAu (PBE)

Data for crystalline CuTcIrAu at its relaxed geometry.

Values from the calculation:
Spin magnetization ... 0.00 μB per formula unit
Formation energy from the elements ... 0.360 eV/atom

```
CuTcIrAu
1.0
0.000 3.102 3.102
3.102 0.000 3.102
3.102 3.102 0.000
Au Cu Ir Tc
1 1 1 1
direct
0.000 0.000 0.000
0.750 0.750 0.750
0.250 0.250 0.250
0.500 0.500 0.500
```

---

## Tm3Zn3CuIrAu (PBE)

Data for crystalline Tm3Zn3CuIrAu at its relaxed geometry.

Values from the calculation:
Spin magnetization ... 0.01 μB per formula unit
Formation energy from the elements ... -0.622 eV/atom

```
Tm3Zn3CuIrAu
1.0
7.245 0.000 0.000
-3.622 6.274 0.000
0.000 0.000 3.759
Au Cu Ir Tm Zn
1 1 1 3 3
direct
0.000 0.000 0.500
0.667 0.333 0.000
0.333 0.667 0.500
0.083 0.350 0.000
0.650 0.733 0.000
0.267 0.917 0.000
0.660 0.087 0.500
0.426 0.340 0.500
0.913 0.574 0.500
```

---

## ZnCuIrAu (PBE)

Data for crystalline ZnCuIrAu at its relaxed geometry.

Values from the calculation:
Spin magnetization ... 0.00 μB per formula unit
Formation energy from the elements ... 0.099 eV/atom

```
ZnCuIrAu
1.0
-3.165 -2.535 1.663
-4.090 0.305 -1.543
-1.686 -3.257 -2.399
Au Cu Ir Zn
1 1 1 1
direct
0.500 0.500 0.500
0.750 0.750 0.750
0.250 0.250 0.250
0.000 0.000 0.000
```

---

## K2CuAu6 (PBE)

Data for crystalline K2CuAu6 at its relaxed geometry.

Values from the calculation:
Energy ... -2.87 eV/atom

```
K2CuAu6
1.0
-1.363 -1.343 6.306
4.605 -2.698 3.865
2.772 3.561 4.802
Au Cu K
6 1 2
direct
0.723 0.723 0.277
0.723 0.277 0.277
0.277 0.723 0.277
0.723 0.277 0.723
0.277 0.723 0.723
0.277 0.277 0.723
0.000 0.000 0.000
0.250 0.250 0.250
0.750 0.750 0.750
```

---

## KCuAu (PBE)

Data for crystalline KCuAu at its relaxed geometry.

Values from the calculation:
Energy ... -2.66 eV/atom

```
KCuAu
1.0
-1.504 -1.482 1.979
3.174 -7.273 -3.036
5.932 1.753 5.823
Au Cu K
3 3 3
direct
0.000 0.607 0.272
0.000 0.272 0.607
0.000 0.937 0.937
0.500 0.731 0.064
0.500 0.401 0.401
0.500 0.064 0.731
0.000 0.998 0.328
0.000 0.662 0.662
0.000 0.328 0.998
```

---

## K4CuP2Au (PBE)

Data for crystalline K4CuP2Au at its relaxed geometry.

Values from the calculation:
Energy ... -3.19 eV/atom

```
K4CuP2Au
1.0
3.737 -4.940 0.000
3.737 4.940 0.000
-0.093 0.000 5.926
Au Cu K P
1 1 4 2
direct
0.000 0.000 0.500
0.000 0.000 0.000
0.816 0.474 0.250
0.474 0.816 0.250
0.526 0.184 0.750
0.184 0.526 0.750
0.242 0.242 0.233
0.758 0.758 0.767
```